[1]
This record from Alexandria via LeMat-Bulk describes crystalline LuHf2Zr at its relaxed geometry. The functional is PBE.

## Properties
* size of the total moment: 0.00 μB per formula unit
* mass density: 10.85 g/cm3
* energy above the most stable polymorph in this dataset: 0.0 meV per atom
* density of states at the Fermi level: 5.860 states/eV/cell
* ΔE_f: 0.114 eV/atom
* crystal system: tetragonal

CIF file:
```
data_LuHf2Zr
_chemical_formula_sum 'Lu1 Hf2 Zr1'
_symmetry_space_group_name_H-M 'P 4/m m m'
_symmetry_Int_Tables_number 123
_symmetry_space_group_name_Hall '-P 4 2'
_cell_length_a 4.559
_cell_length_b 4.559
_cell_length_c 4.589
_cell_angle_alpha 90.00
_cell_angle_beta 90.00
_cell_angle_gamma 90.00
loop_
_atom_site_label
_atom_site_fract_x
_atom_site_fract_y
_atom_site_fract_z
_atom_site_occupancy
Lu1 0.000 0.000 0.000 1
Hf1 0.000 0.500 0.500 1
Zr1 0.500 0.500 0.000 1
```

[2]
This record from Alexandria via LeMat-Bulk describes crystalline Hf3Mg at its relaxed geometry. The functional is PBE.

## Properties
* size of the total moment: 0.00 μB per formula unit
* mass density: 10.76 g/cm3
* energy above the most stable polymorph in this dataset: 160.9 meV per atom
* density of states at the Fermi level: 27.597 states/eV/cell
* ΔE_f: 0.235 eV/atom
* crystal system: cubic

CIF file:
```
data_Hf3Mg
_chemical_formula_sum 'Hf12 Mg4'
_symmetry_space_group_name_H-M 'F m -3 m'
_symmetry_Int_Tables_number 225
_symmetry_space_group_name_Hall '-F 4 2 3'
_cell_length_a 7.017
_cell_length_b 7.017
_cell_length_c 7.017
_cell_angle_alpha 90.00
_cell_angle_beta 90.00
_cell_angle_gamma 90.00
loop_
_atom_site_label
_atom_site_fract_x
_atom_site_fract_y
_atom_site_fract_z
_atom_site_occupancy
Hf1 0.000 0.000 0.000 1
Hf2 0.250 0.250 0.250 1
Mg1 0.000 0.000 0.500 1
```

[3]
This record from Alexandria via LeMat-Bulk describes crystalline Hf3Mg at its relaxed geometry. The functional is PBE.

## Properties
* size of the total moment: 0.00 μB per formula unit
* mass density: 10.68 g/cm3
* energy above the most stable polymorph in this dataset: 21.1 meV per atom
* density of states at the Fermi level: 10.354 states/eV/cell
* ΔE_f: 0.095 eV/atom
* crystal system: hexagonal

CIF file:
```
data_Hf3Mg
_chemical_formula_sum 'Hf6 Mg2'
_symmetry_space_group_name_H-M 'P 63/m m c'
_symmetry_Int_Tables_number 194
_symmetry_space_group_name_Hall '-P 6c 2c'
_cell_length_a 6.3023
_cell_length_b 6.3023
_cell_length_c 5.0618
_cell_angle_alpha 90.00
_cell_angle_beta 90.00
_cell_angle_gamma 120.00
loop_
_atom_site_label
_atom_site_fract_x
_atom_site_fract_y
_atom_site_fract_z
_atom_site_occupancy
Hf1 0.1679 0.3357 0.2500 1
Mg1 0.3333 0.6667 0.7500 1
```

[4]
This record from Alexandria via LeMat-Bulk describes crystalline Hf3Mg at its relaxed geometry. The functional is PBE.

## Properties
* size of the total moment: 0.00 μB per formula unit
* mass density: 10.67 g/cm3
* energy above the most stable polymorph in this dataset: 0.0 meV per atom
* density of states at the Fermi level: 5.168 states/eV/cell
* ΔE_f: 0.074 eV/atom
* crystal system: tetragonal

CIF file:
```
data_Hf3Mg
_chemical_formula_sum 'Hf6 Mg2'
_symmetry_space_group_name_H-M 'I 4/m m m'
_symmetry_Int_Tables_number 139
_symmetry_space_group_name_Hall '-I 4 2'
_cell_length_a 4.398
_cell_length_b 4.398
_cell_length_c 9.007
_cell_angle_alpha 90.00
_cell_angle_beta 90.00
_cell_angle_gamma 90.00
loop_
_atom_site_label
_atom_site_fract_x
_atom_site_fract_y
_atom_site_fract_z
_atom_site_occupancy
Hf1 0.000 0.000 0.000 1
Hf2 0.000 0.500 0.250 1
Mg1 0.000 0.000 0.500 1
```

[5]
This record from Alexandria via LeMat-Bulk describes crystalline Hf4Mg at its relaxed geometry. The functional is PBE.

## Properties
* size of the total moment: 0.00 μB per formula unit
* mass density: 10.86 g/cm3
* energy above the most stable polymorph in this dataset: 0.0 meV per atom
* density of states at the Fermi level: 8.661 states/eV/cell
* ΔE_f: 0.101 eV/atom
* crystal system: orthorhombic

CIF file:
```
data_Hf4Mg
_chemical_formula_sum 'Hf8 Mg2'
_symmetry_space_group_name_H-M 'I m m m'
_symmetry_Int_Tables_number 71
_symmetry_space_group_name_Hall '-I 2 2'
_cell_length_a 3.048
_cell_length_b 5.213
_cell_length_c 14.208
_cell_angle_alpha 90.00
_cell_angle_beta 90.00
_cell_angle_gamma 90.00
loop_
_atom_site_label
_atom_site_fract_x
_atom_site_fract_y
_atom_site_fract_z
_atom_site_occupancy
Hf1 0.000 0.000 0.102 1
Hf2 0.000 0.500 0.215 1
Mg1 0.000 0.000 0.500 1
```

[6]
This record from Alexandria via LeMat-Bulk describes crystalline Hf3Mg at its relaxed geometry. The functional is PBE.

## Properties
* size of the total moment: 0.00 μB per formula unit
* mass density: 10.46 g/cm3
* energy above the most stable polymorph in this dataset: 13.1 meV per atom
* density of states at the Fermi level: 18.645 states/eV/cell
* ΔE_f: 0.087 eV/atom
* crystal system: orthorhombic

CIF file:
```
data_Hf3Mg
_chemical_formula_sum 'Hf12 Mg4'
_symmetry_space_group_name_H-M 'C m c m'
_symmetry_Int_Tables_number 63
_symmetry_space_group_name_Hall '-C 2c 2'
_cell_length_a 9.567
_cell_length_b 8.393
_cell_length_c 4.425
_cell_angle_alpha 90.00
_cell_angle_beta 90.00
_cell_angle_gamma 90.00
loop_
_atom_site_label
_atom_site_fract_x
_atom_site_fract_y
_atom_site_fract_z
_atom_site_occupancy
Hf1 0.000 0.134 0.250 1
Hf2 0.229 0.127 0.750 1
Mg1 0.000 0.392 0.750 1
```